(1)
Density functional theory data (GGA-PBE) for crystalline CsNiTe2N at its relaxed geometry.

Summary:
The calculation puts the uncorrected formation energy at 0.252 eV per atom. The calculation puts the size of the total moment at 0.0 μB per cell. As for the density of states at the Fermi level: 0.790 states/eV per atom. The density comes out at 5.64 Mg/m³.

Lattice parameters (Å, degrees): 6.289 6.289 3.429 90.00 90.00 90.00
Sites, in units of the cell vectors:
1 Te 0.500 0.000 0.000
2 Cs 0.500 0.500 0.500
3 Te 0.000 0.500 0.000
4 N 0.000 0.000 0.500
5 Ni 0.000 0.000 0.000

(2)
Density functional theory data (GGA-PBE) for crystalline CsNiTe2N at its relaxed geometry.

Summary:
The calculation puts the uncorrected formation energy at 2.187 eV per atom. The calculation puts the size of the total moment at 2.0 μB per cell. As for the density of states at the Fermi level: 2.367 states/eV per atom. The density comes out at 4.35 Mg/m³.

Lattice parameters (Å, degrees): 6.494 6.494 4.171 90.00 90.00 90.00
Sites, in units of the cell vectors:
1 Te 0.500 0.000 0.000
2 N 0.000 0.000 0.500
3 Ni 0.500 0.500 0.500
4 Cs 0.000 0.000 0.000
5 Te 0.000 0.500 0.000

(3)
Density functional theory data (GGA-PBE) for crystalline CsNpN2 at its relaxed geometry.

Summary:
The calculation puts the uncorrected formation energy at 0.065 eV per atom. The calculation puts the size of the total moment at 2.0 μB per cell. As for the density of states at the Fermi level: 0.955 states/eV per atom. The density comes out at 9.59 Mg/m³.

Lattice parameters (Å, degrees): 3.109 3.109 7.129 90.00 90.00 90.00
Sites, in units of the cell vectors:
1 N 0.000 0.000 0.835
2 Cs 0.500 0.500 0.500
3 N 0.000 0.000 0.165
4 Np 0.500 0.500 0.000

(4)
Density functional theory data (GGA-PBE) for crystalline CsNpN2 at its relaxed geometry.

Summary:
The calculation puts the uncorrected formation energy at -0.646 eV per atom. The calculation puts the size of the total moment at 2.0 μB per cell. As for the density of states at the Fermi level: 1.500 states/eV per atom. The density comes out at 8.55 Mg/m³.

Lattice parameters (Å, degrees): 3.556 3.556 7.347 76.00 76.00 60.00
Sites, in units of the cell vectors:
1 N 0.048 0.048 0.856
2 Cs 0.497 0.497 0.508
3 Np 0.667 0.667 0.000
4 N 0.288 0.288 0.136

(5)
Density functional theory data (GGA-PBE) for crystalline CsNpN2 at its relaxed geometry.

Summary:
The calculation puts the uncorrected formation energy at -0.669 eV per atom. The calculation puts the size of the total moment at 2.0 μB per cell. As for the density of states at the Fermi level: 1.434 states/eV per atom. The density comes out at 8.57 Mg/m³.

Lattice parameters (Å, degrees): 3.557 3.557 7.334 75.97 75.97 60.00
Sites, in units of the cell vectors:
1 Cs 0.500 0.500 0.500
2 Np 0.000 0.000 0.000
3 N 0.287 0.287 0.139
4 N 0.713 0.713 0.861

(6)
Density functional theory data (GGA-PBE) for crystalline Cs2NpP2N6 at its relaxed geometry.

Summary:
The calculation puts the uncorrected formation energy at -0.458 eV per atom. The calculation puts the size of the total moment at 1.0 μB per cell. As for the density of states at the Fermi level: 0.085 states/eV per atom. The density comes out at 5.21 Mg/m³.

Lattice parameters (Å, degrees): 5.824 5.824 7.804 68.09 68.09 60.00
Sites, in units of the cell vectors:
1 P 0.391 0.391 0.828
2 N 0.292 0.763 0.182
3 N 0.763 0.292 0.182
4 N 0.237 0.237 0.818
5 N 0.763 0.763 0.182
6 P 0.609 0.609 0.172
7 Np 0.000 0.000 0.000
8 Cs 0.791 0.791 0.627
9 N 0.708 0.237 0.818
10 N 0.237 0.708 0.818
11 Cs 0.209 0.209 0.373